(1)
Crystalline BeInTe3 at its relaxed geometry, computed with PBE-GGA.

The value obtained for the mass density is 6.3 g/cm3. Its formation energy (no corrections) is 198 meV per atom. The value obtained for the density of states at the Fermi level is 5.95 states/eV per cell. The calculation puts the energy at -2.9797 eV per atom.

Unit cell a=5.115 b=5.115 c=5.115 alpha=90.00 beta=90.00 gamma=90.00
Space group Pm-3m (No. 221)
Asymmetric unit:
1 Be 0.000 0.000 0.000 (multiplicity 1)
2 In 0.500 0.500 0.500 (multiplicity 1)
3 Te 0.000 0.000 0.500 (multiplicity 3)

(2)
Crystalline Be2InTe at its relaxed geometry, computed with PBE-GGA.

The value obtained for the mass density is 5.2 g/cm3. Its formation energy (no corrections) is 621 meV per atom. The value obtained for the density of states at the Fermi level is 3.13 states/eV per cell. The calculation puts the energy at -2.7126 eV per atom.

Unit cell a=3.585 b=6.024 c=7.636 alpha=90.00 beta=90.00 gamma=90.00
Space group Immm (No. 71)
Asymmetric unit:
1 Be 0.000 0.000 0.234 (multiplicity 4)
2 In 0.000 0.500 0.000 (multiplicity 2)
3 Te 0.000 0.500 0.500 (multiplicity 2)

(3)
Crystalline BeIn3Te at its relaxed geometry, computed with PBE-GGA.

The value obtained for the mass density is 6.3 g/cm3. Its formation energy (no corrections) is 69 meV per atom. The value obtained for the density of states at the Fermi level is 1.42 states/eV per cell. The calculation puts the energy at -2.9474 eV per atom.

Unit cell a=5.035 b=5.035 c=5.035 alpha=90.00 beta=90.00 gamma=90.00
Space group Pm-3m (No. 221)
Asymmetric unit:
1 Be 0.000 0.000 0.000 (multiplicity 1)
2 In 0.000 0.000 0.500 (multiplicity 3)
3 Te 0.500 0.500 0.500 (multiplicity 1)

(4)
Crystalline BeInTe4 at its relaxed geometry, computed with PBE-GGA.

The value obtained for the mass density is 5.6 g/cm3. Its formation energy (no corrections) is 638 meV per atom. The value obtained for the density of states at the Fermi level is 18.96 states/eV per cell. The calculation puts the energy at -2.5340 eV per atom.

Unit cell a=9.097 b=9.097 c=9.097 alpha=90.00 beta=90.00 gamma=90.00
Space group F-43m (No. 216)
Asymmetric unit:
1 Be 0.000 0.000 0.000 (multiplicity 4)
2 In 0.250 0.250 0.750 (multiplicity 4)
3 Te 0.126 0.126 0.374 (multiplicity 16)

(5)
Crystalline Be2InTe at its relaxed geometry, computed with PBE-GGA.

The value obtained for the mass density is 5.8 g/cm3. Its formation energy (no corrections) is 775 meV per atom. The value obtained for the density of states at the Fermi level is 7.25 states/eV per cell. The calculation puts the energy at -2.5583 eV per atom.

Unit cell a=6.686 b=6.686 c=6.686 alpha=90.00 beta=90.00 gamma=90.00
Space group Fm-3m (No. 225)
Asymmetric unit:
1 Be 0.250 0.250 0.250 (multiplicity 8)
2 In 0.000 0.000 0.000 (multiplicity 4)
3 Te 0.000 0.000 0.500 (multiplicity 4)

(6)
Crystalline Be2InTe at its relaxed geometry, computed with PBE-GGA.

The value obtained for the mass density is 5.4 g/cm3. Its formation energy (no corrections) is 935 meV per atom. The value obtained for the density of states at the Fermi level is 9.29 states/eV per cell. The calculation puts the energy at -2.3978 eV per atom.

Unit cell a=6.845 b=6.845 c=6.845 alpha=90.00 beta=90.00 gamma=90.00
Space group F-43m (No. 216)
Asymmetric unit:
1 Be 0.000 0.000 0.000 (multiplicity 4)
2 Be 0.250 0.250 0.250 (multiplicity 4)
3 In 0.250 0.250 0.750 (multiplicity 4)
4 Te 0.000 0.000 0.500 (multiplicity 4)

(7)
Crystalline BeIn2Te at its relaxed geometry, computed with PBE-GGA.

The value obtained for the mass density is 6.0 g/cm3. Its formation energy (no corrections) is 63 meV per atom. The value obtained for the density of states at the Fermi level is 1.88 states/eV per cell. The calculation puts the energy at -3.0236 eV per atom.

Unit cell a=6.608 b=3.839 c=8.476 alpha=90.00 beta=109.43 gamma=90.00
Space group Cm (No. 8)
Asymmetric unit:
1 Be 0.000 0.000 0.000 (multiplicity 2)
2 In 0.222 0.000 0.767 (multiplicity 2)
3 In 0.424 0.000 0.468 (multiplicity 2)
4 Te 0.223 0.500 0.129 (multiplicity 2)

(8)
Crystalline BeIn2Te at its relaxed geometry, computed with PBE-GGA.

The value obtained for the mass density is 6.1 g/cm3. Its formation energy (no corrections) is 526 meV per atom. The value obtained for the density of states at the Fermi level is 8.09 states/eV per cell. The calculation puts the energy at -2.5603 eV per atom.

Unit cell a=7.377 b=7.377 c=7.377 alpha=90.00 beta=90.00 gamma=90.00
Space group Fm-3m (No. 225)
Asymmetric unit:
1 Be 0.000 0.000 0.000 (multiplicity 4)
2 In 0.250 0.250 0.250 (multiplicity 8)
3 Te 0.000 0.000 0.500 (multiplicity 4)

(9)
Crystalline BeIn2Te at its relaxed geometry, computed with PBE-GGA.

The value obtained for the mass density is 6.3 g/cm3. Its formation energy (no corrections) is 240 meV per atom. The value obtained for the density of states at the Fermi level is 3.52 states/eV per cell. The calculation puts the energy at -2.8465 eV per atom.

Unit cell a=4.0710 b=4.0710 c=20.3049 alpha=90.00 beta=90.00 gamma=120.00
Space group R-3m (No. 166, hexagonal axes)
Asymmetric unit:
1 Be 0.0000 0.0000 0.0000 (multiplicity 3)
2 In 0.0000 0.0000 0.2664 (multiplicity 6)
3 Te 0.0000 0.0000 0.5000 (multiplicity 3)

(10)
Crystalline Be2InTe at its relaxed geometry, computed with PBE-GGA.

The value obtained for the mass density is 5.1 g/cm3. Its formation energy (no corrections) is 445 meV per atom. The value obtained for the density of states at the Fermi level is 3.92 states/eV per cell. The calculation puts the energy at -2.8883 eV per atom.

Unit cell a=3.897 b=5.764 c=7.591 alpha=90.00 beta=90.00 gamma=90.00
Space group Cmm2 (No. 35)
Asymmetric unit:
1 Be 0.000 0.000 0.000 (multiplicity 2)
2 Be 0.000 0.500 0.127 (multiplicity 2)
3 In 0.000 0.000 0.360 (multiplicity 2)
4 Te 0.000 0.500 0.804 (multiplicity 2)

(11)
Crystalline BeIn2Te at its relaxed geometry, computed with PBE-GGA.

The value obtained for the mass density is 6.2 g/cm3. Its formation energy (no corrections) is 531 meV per atom. The value obtained for the density of states at the Fermi level is 17.13 states/eV per cell. The calculation puts the energy at -2.5549 eV per atom.

Unit cell a=7.307 b=7.307 c=7.307 alpha=90.00 beta=90.00 gamma=90.00
Space group F-43m (No. 216)
Asymmetric unit:
1 Be 0.000 0.000 0.000 (multiplicity 4)
2 In 0.000 0.000 0.500 (multiplicity 4)
3 In 0.250 0.250 0.750 (multiplicity 4)
4 Te 0.250 0.250 0.250 (multiplicity 4)

(12)
Crystalline Be2InTe at its relaxed geometry, computed with PBE-GGA.

The value obtained for the mass density is 5.6 g/cm3. Its formation energy (no corrections) is 648 meV per atom. The value obtained for the density of states at the Fermi level is 1.16 states/eV per cell. The calculation puts the energy at -2.6848 eV per atom.

Unit cell a=3.482 b=3.482 c=6.356 alpha=90.00 beta=90.00 gamma=90.00
Space group P4/mmm (No. 123)
Asymmetric unit:
1 Be 0.000 0.000 0.180 (multiplicity 2)
2 In 0.500 0.500 0.500 (multiplicity 1)
3 Te 0.500 0.500 0.000 (multiplicity 1)